# ZnPd8Pt2

An optimized crystal structure of ZnPd8Pt2 (PBE, Alexandria via LeMat-Bulk).

The space group is C2/m (No. 12) and the conventional cell measures 9.782, 8.840 and 4.686 Å, with angles of 90.00, 106.87 and 90.00 degrees. The distinct sites, in fractional coordinates, are Zn at (0.000, 0.000, 0.000), Pd at (0.077, 0.500, 0.293), Pd at (0.084, 0.244, 0.800), Pd at (0.228, 0.500, 0.878) and Pt at (0.141, 0.000, 0.539).

As for the volume: 17.6 Å³ per atom. The formation energy comes out at 0.2105 eV per atom. Its excess energy over the best structure of this formula in the dataset is 198 meV/atom.